A plane-wave DFT calculation with PBE was carried out for a geometry-optimized LaTl3Ru structure.

## Properties
The value obtained for the energy relative to the elements is 0.585 eV per formula unit. The value obtained for the uncorrected energy is -20.717 eV per cell. For the excess energy over the best structure of this formula in the dataset, the calculation gives 0 meV per atom.

```
5
Lattice="5.2270 0.0000 0.0000 0.0000 5.2270 0.0000 0.0000 0.0000 5.2270" Properties=species:S:1:pos:R:3 pbc="T T T"
La 0.0000 0.0000 0.0000
Tl 0.0000 2.6135 2.6135
Tl 2.6135 0.0000 2.6135
Tl 2.6135 2.6135 0.0000
Ru 2.6135 2.6135 2.6135
```

---

A plane-wave DFT calculation with PBE was carried out for a geometry-optimized La4Tl2Ru structure.

## Properties
The value obtained for the energy relative to the elements is -2.460 eV per formula unit. The value obtained for the uncorrected energy is -36.178 eV per cell. For the excess energy over the best structure of this formula in the dataset, the calculation gives 0 meV per atom.

```
7
Lattice="5.9295 -2.4708 0.0000 5.9295 2.4708 0.0000 -5.0490 0.0000 7.4813" Properties=species:S:1:pos:R:3 pbc="T T T"
La -0.9465 0.0000 2.6114
La -0.8215 0.0000 7.1030
La 7.6315 0.0000 0.3783
La 7.7564 0.0000 4.8699
Tl 2.3864 0.0000 2.4762
Tl 4.4235 0.0000 5.0051
Ru 0.0000 0.0000 0.0000
```

---

A plane-wave DFT calculation with PBE was carried out for a geometry-optimized LaTl2Ru structure.

## Properties
The value obtained for the energy relative to the elements is 0.337 eV per formula unit. The value obtained for the uncorrected energy is -18.599 eV per cell.

```
4
Lattice="0.0000 3.6187 3.6187 3.6187 0.0000 3.6187 3.6187 3.6187 0.0000" Properties=species:S:1:pos:R:3 pbc="T T T"
La 0.0000 0.0000 0.0000
Tl 1.8094 1.8094 1.8094
Tl 5.4281 5.4281 5.4281
Ru 3.6187 3.6187 3.6187
```